First-principles (PBE) data for a geometry-optimized Cs2AcIO2 structure, as listed in the Alexandria database.

abc: 4.9269 4.9269 7.8597
angles: 90.00 90.00 90.00
Positions (direct):
Cs  0.5000  0.5000  0.7539
Cs  0.5000  0.5000  0.2461
Ac  0.0000  0.0000  0.0000
I  0.0000  0.0000  0.5000
O  0.5000  0.0000  0.0000
O  0.0000  0.5000  0.0000

## Properties
volume: 31.8 Å³ per atom
formation energy (no corrections): -2.025 eV/atom
raw total energy: -0.180 Ha/atom

---

First-principles (PBE) data for a geometry-optimized PuSbPd4 structure, as listed in the Alexandria database.

abc: 5.4446 4.8012 9.2447
angles: 105.07 107.16 89.97
Site moments in Bohr magnetons follow the coordinates.
Positions (direct):
Pu  0.8133  0.7498  0.0001  5.07
Pu  0.1867  0.2502  0.9999  5.07
Sb  0.5000  0.0000  0.5000  -0.01
Sb  0.0000  0.5000  0.5000  -0.01
Pd  0.5654  0.1610  0.8222  -0.03
Pd  0.7432  0.3387  0.1778  -0.03
Pd  0.4346  0.8390  0.1778  -0.03
Pd  0.2568  0.6613  0.8222  -0.03
Pd  0.0054  0.0831  0.6657  -0.02
Pd  0.3394  0.4172  0.3341  -0.02
Pd  0.9946  0.9169  0.3342  -0.02
Pd  0.6606  0.5828  0.6659  -0.02

## Properties
excess energy over the best structure of this formula in the dataset: 0 meV/atom
volume: 18.5 Å³ per atom
formation energy (no corrections): -0.419 eV/atom
raw total energy: -0.256 Ha/atom

---

First-principles (PBE) data for a geometry-optimized SrTlNO2 structure, as listed in the Alexandria database.

abc: 4.7679 4.7679 5.0809
angles: 90.00 90.00 90.00
Site moments in Bohr magnetons follow the coordinates.
Positions (direct):
Sr  0.0000  0.0000  0.0000  0.02
Tl  0.5000  0.5000  0.5000  0.02
O  0.0000  0.5000  0.0000  0.72
O  0.5000  0.0000  0.0000  0.72
N  0.0000  0.0000  0.5000  1.46

## Properties
volume: 23.1 Å³ per atom
formation energy (no corrections): 0.165 eV/atom
raw total energy: -0.158 Ha/atom